Compound: BOs2Br2
Source: Alexandria via LeMat-Bulk
Functional: GGA-PBE
Structure: optimized geometry

Cell lengths 7.705, 7.705, 2.933 Å; angles 90.00, 90.00, 90.00 degrees
Space group P4/mbm (No. 127)
Symmetry-distinct sites (fractional):
B 0.000 0.000 0.000 [2 per cell]
Os 0.176 0.324 0.500 [4 per cell]
Br 0.141 0.641 0.000 [4 per cell]

Properties
- ρ (g cm⁻³) = 10.5
- ΔE_f (raw) (eV per atom) = 2.3389
- uncorrected energy (eV/atom) = -4.16
- excess energy over the best structure of this formula in the dataset (meV/atom) = 217
- magnetic moment (Bohr magnetons per cell) = 0.0